A relaxed structure of SrTbSi2Pt2. Source: Alexandria via LeMat-Bulk, functional PBE.

abc: 4.1569 4.1569 8.8045
angles: 90.00 90.00 120.00
Fractional positions:
Sr1 0.0000 0.0000 0.0000
Tb1 0.0000 0.0000 0.5000
Si1 0.6667 0.3333 0.7313
Si2 0.3333 0.6667 0.2687
Pt1 0.6667 0.3333 0.2717
Pt2 0.3333 0.6667 0.7283

Values from the calculation:
final energy	-35.35	eV for the cell shown
ΔE_f (raw)	-6.1	eV/f.u.
size of the total moment	0.0	μB per formula unit

=====

A relaxed structure of Sr2ThSi3Pt12. Source: Alexandria via LeMat-Bulk, functional PBE.

abc: 7.8987 7.8987 7.8987
angles: 63.94 63.94 63.94
Fractional positions:
Sr1 0.5970 0.5970 0.5970
Sr2 0.4030 0.4030 0.4030
Th1 0.0000 0.0000 0.0000
Si1 0.5000 0.0000 0.0000
Si2 0.0000 0.5000 0.0000
Si3 0.0000 0.0000 0.5000
Pt1 0.3448 0.3448 0.9047
Pt2 0.8590 0.8590 0.4039
Pt3 0.4039 0.8590 0.8590
Pt4 0.9047 0.3448 0.3448
Pt5 0.8590 0.4039 0.8590
Pt6 0.3448 0.9047 0.3448
Pt7 0.6552 0.6552 0.0953
Pt8 0.1410 0.1410 0.5961
Pt9 0.5961 0.1410 0.1410
Pt10 0.0953 0.6552 0.6552
Pt11 0.1410 0.5961 0.1410
Pt12 0.6552 0.0953 0.6552

Values from the calculation:
final energy	-108.24	eV for the cell shown
ΔE_f (raw)	-8.7	eV/f.u.
size of the total moment	0.0	μB per formula unit

=====

A relaxed structure of Sr2TlSiPt. Source: Alexandria via LeMat-Bulk, functional PBE.

abc: 5.9422 5.9422 4.5881
angles: 90.00 90.00 90.00
Fractional positions:
Sr1 0.0000 0.5000 0.0000
Sr2 0.5000 0.0000 0.0000
Tl1 0.5000 0.5000 0.5000
Si1 0.0000 0.0000 0.5000
Pt1 0.0000 0.0000 0.0000

Values from the calculation:
final energy	-19.70	eV for the cell shown
ΔE_f (raw)	-2.5	eV/f.u.
size of the total moment	0.0	μB per formula unit

=====

A relaxed structure of Sr2TmSi3Pt12. Source: Alexandria via LeMat-Bulk, functional PBE.

abc: 7.7551 7.7551 7.7551
angles: 65.60 65.60 65.60
Fractional positions:
Sr1 0.6001 0.6001 0.6001
Sr2 0.3999 0.3999 0.3999
Tm1 0.0000 0.0000 0.0000
Si1 0.5000 0.0000 0.0000
Si2 0.0000 0.5000 0.0000
Si3 0.0000 0.0000 0.5000
Pt1 0.3459 0.3459 0.9058
Pt2 0.8614 0.8614 0.3918
Pt3 0.3918 0.8614 0.8614
Pt4 0.9058 0.3459 0.3459
Pt5 0.8614 0.3918 0.8614
Pt6 0.3459 0.9058 0.3459
Pt7 0.6541 0.6541 0.0942
Pt8 0.1386 0.1386 0.6082
Pt9 0.6082 0.1386 0.1386
Pt10 0.0942 0.6541 0.6541
Pt11 0.1386 0.6082 0.1386
Pt12 0.6541 0.0942 0.6541

Values from the calculation:
final energy	-105.05	eV for the cell shown
ΔE_f (raw)	-8.5	eV/f.u.
size of the total moment	0.0	μB per formula unit